A relaxed PrDy6Cd2 crystal. Source: Alexandria, functional PBE.

```
PrDy6Cd2
1.0
3.750 0.000 0.000
1.875 6.317 0.486
1.875 1.737 11.502
Pr Dy Cd
1 6 2
direct
0.000 0.000 0.000
0.685 0.505 0.125
0.315 0.495 0.875
0.313 0.792 0.582
0.986 0.686 0.342
0.014 0.314 0.658
0.687 0.208 0.418
0.350 0.083 0.218
0.650 0.917 0.782
```

Results
space-group type	C2/m, No. 12
calculated formation energy	-0.127	eV per atom
electronic total energy	-3.929	eV/atom